SrCdBr2 after structural relaxation. Source: Alexandria via LeMat-Bulk, functional PBE-GGA.

abc: 4.3419 4.7883 6.8909
angles: 69.67 90.00 90.00
With the nearest neighbours (Å) after each atom.
Fractional coordinates of all 4 atoms:
Sr1 0.5000 0.5189 0.8422  5 Br 2.97-3.28
Br1 0.0000 0.9779 0.9217  4 Sr 3.27-3.28, 1 Cd 3.31
Br2 0.5000 0.2866 0.3019  1 Sr 2.97
Cd1 0.0000 0.7167 0.4342  5 Br 3.31-3.36, 2 Sr 3.42

Results
Uncorrected formation energy in eV per atom: -1.254